[1]
VASP calculation (GGA-PBE) on an optimized crystal structure of Ti2BH2.

Values from the calculation:
ρ (Mg/m³): 4.2
Energy above the lowest structure with this stoichiometry (meV per atom): 0
Final energy (eV/f.u.): -31.0

Unit cell a=2.8029 b=2.8029 c=5.7819 alpha=75.97 beta=75.97 gamma=90.00
With the nearest neighbours (Å) after each atom.
Sites, in units of the cell vectors:
Ti  0.6304  0.6304  0.7391  4 H 1.91
H  0.2500  0.7500  0.5000  4 Ti 1.91, 4 H 1.98
B  0.0000  0.0000  0.0000  8 Ti 2.44
Ti  0.3696  0.3696  0.2609  4 H 1.91
H  0.7500  0.2500  0.5000  4 Ti 1.91, 4 H 1.98

=====

[2]
VASP calculation (GGA-PBE) on an optimized crystal structure of HoTiRu2.

Values from the calculation:
ρ (Mg/m³): 10.2
ΔE_f (eV/atom): -0.517
Final energy (eV/f.u.): -33.1

Unit cell a=3.2004 b=3.2004 c=6.6096 alpha=90.00 beta=90.00 gamma=90.00
With the nearest neighbours (Å) after each atom.
Sites, in units of the cell vectors:
Ti  0.5000  0.5000  0.0000  8 Ru 2.70
Ru  0.0000  0.0000  0.2214  4 Ti 2.70, 4 Ho 2.92, 1 Ru 2.93
Ho  0.5000  0.5000  0.5000  8 Ru 2.92, 4 Ho 3.20
Ru  0.0000  0.0000  0.7786  4 Ti 2.70, 4 Ho 2.92, 1 Ru 2.93

=====

[3]
VASP calculation (GGA-PBE) on an optimized crystal structure of MgGeHPd2.

Values from the calculation:
ρ (Mg/m³): 7.8
Final energy (eV/f.u.): -21.4

Unit cell a=4.0698 b=4.0698 c=4.0094 alpha=90.00 beta=90.00 gamma=90.00
With the nearest neighbours (Å) after each atom.
Sites, in units of the cell vectors:
Pd  0.5000  0.0000  0.0000  2 H 2.03
Ge  0.5000  0.5000  0.5000  8 Pd 2.86, 4 Mg 2.88
Pd  0.0000  0.5000  0.0000  2 H 2.03
Mg  0.0000  0.0000  0.5000  2 H 2.00
H  0.0000  0.0000  0.0000  2 Mg 2.00, 4 Pd 2.03

=====

[4]
VASP calculation (GGA-PBE) on an optimized crystal structure of Sr5Li4.

Values from the calculation:
ρ (Mg/m³): 2.1
ΔE_f (eV/atom): 0.039
Final energy (eV/f.u.): -15.7

Unit cell a=5.1766 b=6.9634 c=11.5038 alpha=74.57 beta=77.00 gamma=68.18
With the nearest neighbours (Å) after each atom.
Sites, in units of the cell vectors:
Sr  0.0000  0.0000  0.0000  4 Li 3.46
Li  0.6009  0.4079  0.3903  2 Li 2.90-2.94
Li  0.4514  0.2672  0.8299  1 Li 2.90
Sr  0.2451  0.3364  0.1735  6 Li 3.64-3.97
Sr  0.1104  0.1724  0.6067  7 Li 3.66-3.75
Li  0.3991  0.5921  0.6097  2 Li 2.90-2.94
Sr  0.7549  0.6636  0.8265  6 Li 3.64-3.97
Li  0.5486  0.7328  0.1701  1 Li 2.90
Sr  0.8896  0.8276  0.3933  7 Li 3.66-3.75

=====

[5]
VASP calculation (GGA-PBE) on an optimized crystal structure of ReAs2P.

Values from the calculation:
ρ (Mg/m³): 9.5
ΔE_f (eV/atom): 0.385
Final energy (eV/f.u.): -25.6

Unit cell a=3.1012 b=3.1013 c=6.6504 alpha=90.00 beta=90.00 gamma=90.00
With the nearest neighbours (Å) after each atom.
Sites, in units of the cell vectors:
As  0.0000  0.0000  0.5211  4 Re 2.67, 4 P 2.84
P  0.5000  0.5000  0.2500  8 As 2.84, 4 P 3.10
As  0.0000  0.0000  0.9789  4 Re 2.67, 4 P 2.84
Re  0.5000  0.5000  0.7500  8 As 2.67

=====

[6]
VASP calculation (GGA-PBE) on an optimized crystal structure of Ho3AlCo2Si6.

Values from the calculation:
ρ (Mg/m³): 6.2
E_form (uncorrected) (eV/atom): -0.2296
Final energy (eV/f.u.): -67.0

Unit cell a=5.3054 b=5.3054 c=8.9098 alpha=90.00 beta=90.00 gamma=120.00
With the nearest neighbours (Å) after each atom.
Sites, in units of the cell vectors:
Ho  0.6667  0.3333  0.4180  9 Si 2.95-3.13, 3 Al 3.15
Si  0.8287  0.1713  0.7277  1 Co 2.26
Si  0.1713  0.8287  0.2723  1 Co 2.26
Si  0.6574  0.8287  0.2723  1 Co 2.26
Co  0.3333  0.6667  0.0821  3 Si 2.26
Ho  0.3333  0.6667  0.5820  9 Si 2.95-3.13, 3 Al 3.15
Si  0.3426  0.1713  0.7277  1 Co 2.26
Al  0.0000  0.0000  0.5000  6 Si 2.57
Ho  0.0000  0.0000  0.0000  6 Si 2.89, 6 Co 3.15
Si  0.8287  0.6574  0.7277  1 Co 2.26
Co  0.6667  0.3333  0.9179  3 Si 2.26
Si  0.1713  0.3426  0.2723  1 Co 2.26

=====

[7]
VASP calculation (GGA-PBE) on an optimized crystal structure of MnSb2P.

Values from the calculation:
ρ (Mg/m³): 6.9
E_form (uncorrected) (eV/atom): 0.3924
Final energy (eV/f.u.): -21.3

Unit cell a=3.4372 b=3.4372 c=6.6841 alpha=90.00 beta=90.00 gamma=90.00
With the nearest neighbours (Å) after each atom.
Sites, in units of the cell vectors:
Sb  0.0000  0.0000  0.2341  4 Mn 2.89, 4 P 3.01, 1 Sb 3.13
Sb  0.0000  0.0000  0.7659  4 Mn 2.89, 4 P 3.01, 1 Sb 3.13
P  0.5000  0.5000  0.5000  8 Sb 3.01, 2 Mn 3.34
Mn  0.5000  0.5000  0.0000  8 Sb 2.89

=====

[8]
VASP calculation (GGA-PBE) on an optimized crystal structure of Ca2TcAsO.

Values from the calculation:
ρ (Mg/m³): 3.7
Energy above the lowest structure with this stoichiometry (meV per atom): 0
E_form (uncorrected) (eV/atom): -0.4529
Final energy (eV/f.u.): -26.2

Unit cell a=5.6620 b=3.7365 c=5.6620 alpha=90.00 beta=90.00 gamma=90.00
With the nearest neighbours (Å) after each atom.
Sites, in units of the cell vectors:
O  0.0000  0.5000  0.0000  2 Tc 1.87
As  0.5000  0.5000  0.5000  8 Ca 3.39, 2 As 3.74
Ca  0.5000  0.0000  0.0000  2 Tc 2.83
Tc  0.0000  0.0000  0.0000  2 O 1.87
Ca  0.0000  0.0000  0.5000  2 Tc 2.83

=====

[9]
VASP calculation (GGA-PBE) on an optimized crystal structure of ZnCo2Mo.

Values from the calculation:
ρ (Mg/m³): 8.3
ΔE_f (eV/atom): 0.567
Final energy (eV/f.u.): -24.0

Unit cell a=6.5261 b=6.5261 c=5.3022 alpha=52.02 beta=52.02 gamma=90.00
With the nearest neighbours (Å) after each atom.
Sites, in units of the cell vectors:
Zn  0.2500  0.7500  0.5000  4 Co 2.48, 2 Mo 2.61
Mo  0.7500  0.2500  0.5000  4 Co 2.32
Co  0.8750  0.8936  0.7500  2 Mo 2.32, 2 Zn 2.48
Co  0.1064  0.6250  0.2500  2 Mo 2.32, 2 Zn 2.48
Co  0.6436  0.1250  0.2500  2 Mo 2.32, 2 Zn 2.48
Mo  0.0000  0.0000  0.0000  4 Co 2.32
Co  0.3750  0.3564  0.7500  2 Mo 2.32, 2 Zn 2.48
Zn  0.5000  0.5000  0.0000  4 Co 2.48, 2 Mo 2.61

=====

[10]
VASP calculation (GGA-PBE) on an optimized crystal structure of In3C.

Values from the calculation:
ρ (Mg/m³): 7.1
ΔE_f (eV/atom): 0.692
Final energy (eV/f.u.): -14.7

Unit cell a=3.5579 b=3.5579 c=7.8598 alpha=76.35 beta=76.35 gamma=60.26
With the nearest neighbours (Å) after each atom.
Sites, in units of the cell vectors:
In  0.5000  0.5000  0.5000  12 In 3.25-3.57
In  0.7245  0.7245  0.8343  3 C 2.40-2.41
In  0.2755  0.2755  0.1657  3 C 2.40-2.41
C  0.0000  0.0000  0.0000  6 In 2.40-2.41